Compound: NaZnI2O
Source: Alexandria
Functional: SCAN
Structure: single point on PBEsol structure

Calculated values
space-group type: P4/mmm, No. 123
electronic total energy: -96.9 eV/cell

a b c (Å): 4.179 5.707 5.707
angles (deg): 90.00 90.00 90.00
Site moments in Bohr magnetons follow the coordinates.
Atoms (fractional coordinates):
I (0.000, 0.500, 0.000)  0.09
I (0.000, 0.000, 0.500)  0.09
O (0.500, 0.000, 0.000)  1.15
Na (0.000, 0.000, 0.000)  -0.01
Zn (0.500, 0.500, 0.500)  -0.04